Entry 1:
VASP calculation (PBE) on crystalline Ac6Os2PdI3 at its relaxed geometry.

a b c (Å): 7.6275 7.6275 9.0146
angles (deg): 98.09 98.09 120.00
Positions (direct):
Ac 0.2862 0.2862 0.8145
Ac 0.9381 0.5902 0.8141
Ac 0.0619 0.4098 0.1859
Ac 0.5902 0.9381 0.8141
Ac 0.4098 0.0619 0.1859
Ac 0.7138 0.7138 0.1855
I 0.5000 0.5000 0.5000
I 0.1672 0.8328 0.5000
I 0.8328 0.1672 0.5000
Os 0.6666 0.3334 0.0000
Os 0.3334 0.6666 0.0000
Pd 0.0000 0.0000 0.0000

***

Entry 2:
VASP calculation (PBE) on crystalline Ac8Os3PtI3 at its relaxed geometry.

a b c (Å): 8.8130 8.8129 10.0244
angles (deg): 116.07 89.99 119.99
Positions (direct):
Ac 0.7283 0.4565 0.6843
Ac 0.2312 0.4624 0.6799
Ac 0.2827 0.0513 0.3201
Ac 0.7686 0.0514 0.3206
Ac 0.7173 0.9487 0.6799
Ac 0.7688 0.5376 0.3201
Ac 0.2314 0.9486 0.6794
Ac 0.2717 0.5435 0.3157
I 0.0000 0.0000 0.0000
I 0.5000 0.5000 0.0000
I 0.0000 0.5000 0.0000
Os 0.5000 0.0000 0.5000
Os 0.0000 0.5000 0.5000
Os 0.5000 0.5000 0.5000
Pt 0.0000 0.0000 0.5000

***

Entry 3:
VASP calculation (PBE) on crystalline Ac8Os3PtI4 at its relaxed geometry.

a b c (Å): 8.8054 9.9870 8.8037
angles (deg): 116.13 120.01 90.00
Positions (direct):
Ac 0.2331 0.6839 0.4662
Ac 0.2331 0.6838 0.9507
Ac 0.2716 0.3149 0.5433
Ac 0.7669 0.3162 0.0493
Ac 0.7176 0.6838 0.9507
Ac 0.7669 0.3161 0.5338
Ac 0.7284 0.6851 0.4567
Ac 0.2824 0.3162 0.0493
Os 0.5000 0.5000 0.0000
Os 0.0000 0.5000 0.5000
Os 0.5000 0.5000 0.5000
I 0.5000 0.0000 0.0000
I 0.0000 0.0000 0.5000
I 0.0000 0.0000 0.0000
I 0.5000 0.0000 0.5000
Pt 0.0000 0.5000 0.0000

***

Entry 4:
VASP calculation (PBE) on crystalline Ac4OsPtI2 at its relaxed geometry.

a b c (Å): 4.4259 7.6590 8.9838
angles (deg): 106.46 90.00 90.00
Positions (direct):
Ac 0.0000 0.7187 0.1860
Ac 0.5000 0.7614 0.8160
Ac 0.5000 0.2386 0.1840
Ac 0.0000 0.2813 0.8140
I 0.5000 0.0000 0.5000
I 0.0000 0.5000 0.5000
Os 0.5000 0.5000 0.0000
Pt 0.0000 0.0000 0.0000

***

How do the records compare in size of the total moment? In the order shown, they have 0.0000 0.0000 0.0000 0.0000 μB/atom.
How do the records compare in calculated total energy? In the order shown, they have -5.519 -5.777 -5.690 -5.551 eV/atom.